1.
! Be2MoPb PBE relaxed; values from VASP
! formation energy from the elements = 0.82 eV/atom
! space-group type = I-42d (122)
&SYSTEM
  ibrav = 0, nat = 8, ntyp = 3
/
ATOMIC_SPECIES
Be 9.01 Be.upf
Mo 95.94 Mo.upf
Pb 207.20 Pb.upf
ATOMIC_POSITIONS crystal
Be 0.1004 0.6250 0.9754
Be 0.3750 0.3504 0.4754
Be 0.6496 0.1250 0.0246
Be 0.8750 0.8996 0.5246
Mo 0.0000 0.0000 0.0000
Mo 0.7500 0.2500 0.5000
Pb 0.2500 0.7500 0.5000
Pb 0.5000 0.5000 0.0000
CELL_PARAMETERS angstrom
-3.3957 3.3957 2.7511
3.3957 -3.3957 2.7511
3.3957 3.3957 -2.7511


2.
! MgTaAu3 PBE relaxed; values from VASP
! formation energy from the elements = 0.68 eV/atom
! space-group type = Pm-3m (221)
&SYSTEM
  ibrav = 0, nat = 5, ntyp = 3
/
ATOMIC_SPECIES
Mg 24.30 Mg.upf
Ta 180.95 Ta.upf
Au 196.97 Au.upf
ATOMIC_POSITIONS crystal
Mg 0.0000 0.0000 0.0000
Ta 0.5000 0.5000 0.5000
Au 0.0000 0.5000 0.5000
Au 0.5000 0.0000 0.5000
Au 0.5000 0.5000 0.0000
CELL_PARAMETERS angstrom
5.1223 0.0000 0.0000
0.0000 5.1223 0.0000
0.0000 0.0000 5.1223


3.
! Ba2NiHOs PBE relaxed; values from VASP
! calculated total energy = -4.28 eV/atom
! space-group type = P4/mmm (123)
&SYSTEM
  ibrav = 0, nat = 5, ntyp = 4
/
ATOMIC_SPECIES
Ba 137.33 Ba.upf
Ni 58.69 Ni.upf
H 1.01 H.upf
Os 190.23 Os.upf
ATOMIC_POSITIONS crystal
Ba 0.0000 0.5000 0.0000
Ba 0.5000 0.0000 0.0000
Ni 0.0000 0.0000 0.5000
H 0.5000 0.5000 0.5000
Os 0.0000 0.0000 0.0000
CELL_PARAMETERS angstrom
5.9947 0.0000 0.0000
0.0000 5.9947 0.0000
0.0000 0.0000 4.4741


4.
! Ac4SiSe2I PBE relaxed; values from VASP
! uncorrected formation energy = -10.8 eV per formula unit
! space-group type = P2/m (10)
&SYSTEM
  ibrav = 0, nat = 8, ntyp = 4
/
ATOMIC_SPECIES
Ac 227.00 Ac.upf
Si 28.09 Si.upf
Se 78.96 Se.upf
I 126.90 I.upf
ATOMIC_POSITIONS crystal
Ac 0.2361 0.0000 0.2190
Ac 0.2529 0.5000 0.7736
Ac 0.7471 0.5000 0.2264
Ac 0.7639 0.0000 0.7810
Si 0.5000 0.0000 0.0000
Se 0.0000 0.0000 0.5000
Se 0.0000 0.5000 0.0000
I 0.5000 0.5000 0.5000
CELL_PARAMETERS angstrom
7.8141 0.0000 0.0000
0.0000 4.5458 0.0000
-2.6341 0.0000 7.6489


5.
! P2IO2 PBE relaxed; values from VASP
! uncorrected formation energy = 4.3 eV per formula unit
! space-group type = P4/mmm (123)
&SYSTEM
  ibrav = 0, nat = 5, ntyp = 3
/
ATOMIC_SPECIES
P 30.97 P.upf
I 126.90 I.upf
O 16.00 O.upf
ATOMIC_POSITIONS crystal
P 0.0000 0.5000 0.0000
P 0.5000 0.0000 0.0000
I 0.0000 0.0000 0.5000
O 0.5000 0.5000 0.0000
O 0.5000 0.5000 0.5000
CELL_PARAMETERS angstrom
4.1101 0.0000 0.0000
0.0000 4.1101 0.0000
0.0000 0.0000 4.3367


6.
! BeRePb2 PBE relaxed; values from VASP
! formation energy from the elements = 1.02 eV/atom
! space-group type = R-3m (166)
&SYSTEM
  ibrav = 0, nat = 4, ntyp = 3
/
ATOMIC_SPECIES
Be 9.01 Be.upf
Re 186.21 Re.upf
Pb 207.20 Pb.upf
ATOMIC_POSITIONS crystal
Be 0.0000 0.0000 0.0000
Re 0.5000 0.5000 0.5000
Pb 0.2536 0.2536 0.2536
Pb 0.7464 0.7464 0.7464
CELL_PARAMETERS angstrom
1.6808 0.9704 8.0803
-1.6808 0.9704 8.0803
0.0000 -1.9408 8.0803


7.
! IrPdAu PBE relaxed; values from VASP
! formation energy from the elements = 0.20 eV/atom
! space-group type = Cm (8)
&SYSTEM
  ibrav = 0, nat = 3, ntyp = 3
/
ATOMIC_SPECIES
Ir 192.22 Ir.upf
Pd 106.42 Pd.upf
Au 196.97 Au.upf
ATOMIC_POSITIONS crystal
Ir 0.0000 0.0000 0.0000
Pd 0.7701 0.7701 0.3139
Au 0.2211 0.2211 0.6584
CELL_PARAMETERS angstrom
2.4198 -1.4048 0.0000
2.4198 1.4048 0.0000
-1.6133 0.0000 7.0354


8.
! HoErCuSn PBE relaxed; values from VASP
! formation energy from the elements = -0.42 eV/atom
! space-group type = F-43m (216)
&SYSTEM
  ibrav = 0, nat = 4, ntyp = 4
/
ATOMIC_SPECIES
Ho 164.93 Ho.upf
Er 167.26 Er.upf
Cu 63.55 Cu.upf
Sn 118.71 Sn.upf
ATOMIC_POSITIONS crystal
Ho 0.0000 0.0000 0.0000
Er 0.5000 0.5000 0.5000
Cu 0.2500 0.2500 0.2500
Sn 0.7500 0.7500 0.7500
CELL_PARAMETERS angstrom
0.0000 3.6113 3.6113
3.6113 0.0000 3.6113
3.6113 3.6113 0.0000


9.
! Zn2SiNi5B2 PBE relaxed; values from VASP
! uncorrected formation energy = -2.8 eV per formula unit
! space-group type = P4/mbm (127)
&SYSTEM
  ibrav = 0, nat = 20, ntyp = 4
/
ATOMIC_SPECIES
Zn 65.41 Zn.upf
Si 28.09 Si.upf
Ni 58.69 Ni.upf
B 10.81 B.upf
ATOMIC_POSITIONS crystal
Zn 0.1780 0.3220 0.0000
Zn 0.3220 0.8220 0.0000
Zn 0.6780 0.1780 0.0000
Zn 0.8220 0.6780 0.0000
Si 0.0000 0.0000 0.0000
Si 0.5000 0.5000 0.0000
Ni 0.0000 0.5000 0.5000
Ni 0.0659 0.7853 0.5000
Ni 0.2147 0.0659 0.5000
Ni 0.2853 0.5659 0.5000
Ni 0.4341 0.2853 0.5000
Ni 0.5000 0.0000 0.5000
Ni 0.5659 0.7147 0.5000
Ni 0.7147 0.4341 0.5000
Ni 0.7853 0.9341 0.5000
Ni 0.9341 0.2147 0.5000
B 0.1243 0.6243 0.0000
B 0.3757 0.1243 0.0000
B 0.6243 0.8757 0.0000
B 0.8757 0.3757 0.0000
CELL_PARAMETERS angstrom
8.6750 0.0000 0.0000
0.0000 8.6750 0.0000
0.0000 0.0000 2.7846


10.
! In4GaHg PBE relaxed; values from VASP
! formation energy from the elements = 0.04 eV/atom
! space-group type = P4/mmm (123)
&SYSTEM
  ibrav = 0, nat = 6, ntyp = 3
/
ATOMIC_SPECIES
In 114.82 In.upf
Ga 69.72 Ga.upf
Hg 200.59 Hg.upf
ATOMIC_POSITIONS crystal
In 0.0000 0.5000 0.2400
In 0.0000 0.5000 0.7600
In 0.5000 0.0000 0.2400
In 0.5000 0.0000 0.7600
Ga 0.0000 0.0000 0.0000
Hg 0.5000 0.5000 0.5000
CELL_PARAMETERS angstrom
4.8469 0.0000 0.0000
0.0000 4.8469 0.0000
0.0000 0.0000 7.0659


11.
! YSi2Os2 PBE relaxed; values from VASP
! uncorrected formation energy = -2.3 eV per formula unit
! space-group type = I4/mmm (139)
&SYSTEM
  ibrav = 0, nat = 5, ntyp = 3
/
ATOMIC_SPECIES
Y 88.91 Y.upf
Si 28.09 Si.upf
Os 190.23 Os.upf
ATOMIC_POSITIONS crystal
Y 0.0000 0.0000 0.0000
Si 0.2500 0.7500 0.5000
Si 0.7500 0.2500 0.5000
Os 0.3768 0.3768 0.0000
Os 0.6232 0.6232 0.0000
CELL_PARAMETERS angstrom
-2.1121 2.1121 4.8917
2.1121 -2.1121 4.8917
2.1121 2.1121 -4.8917


12.
! LaRe PBE relaxed; values from VASP
! formation energy from the elements = 1.98 eV/atom
! space-group type = F-43m (216)
&SYSTEM
  ibrav = 0, nat = 2, ntyp = 2
/
ATOMIC_SPECIES
La 138.91 La.upf
Re 186.21 Re.upf
ATOMIC_POSITIONS crystal
La 0.0000 0.0000 0.0000
Re 0.7500 0.7500 0.7500
CELL_PARAMETERS angstrom
0.0000 3.2320 3.2320
3.2320 0.0000 3.2320
3.2320 3.2320 0.0000